# 1
Below is a relaxed Cd2RuSe crystal, with properties calculated at the PBEsol level.

a = 2.896 Å, b = 2.896 Å, c = 30.336 Å
α = 90.00°, β = 90.00°, γ = 120.00°
Positions (direct):
Cd  0.000  0.000  0.241
Cd  0.000  0.000  0.759
Cd  0.333  0.667  0.426
Cd  0.333  0.667  0.908
Cd  0.667  0.333  0.092
Cd  0.667  0.333  0.574
Ru  0.000  0.000  0.500
Ru  0.333  0.667  0.167
Ru  0.667  0.333  0.833
Se  0.000  0.000  0.000
Se  0.333  0.667  0.667
Se  0.667  0.333  0.333

Results
VASP energy = -3.74 eV/atom
formation energy from raw total energies = 1.47 eV per formula unit
N(E_F) = 9.0 states/eV per cell
magnetic moment = 2.3 μB/cell

***

# 2
Below is a relaxed CdRu3Se crystal, with properties calculated at the PBEsol level.

a = 4.465 Å, b = 4.465 Å, c = 4.465 Å
α = 90.00°, β = 90.00°, γ = 90.00°
Positions (direct):
Cd  0.000  0.000  0.000
Ru  0.000  0.500  0.500
Ru  0.500  0.000  0.500
Ru  0.500  0.500  0.000
Se  0.500  0.500  0.500

Results
VASP energy = -6.22 eV/atom
formation energy from raw total energies = 4.45 eV per formula unit
N(E_F) = 7.1 states/eV per cell
magnetic moment = 0.0 μB/cell

***

# 3
Below is a relaxed CdRuSe crystal, with properties calculated at the PBEsol level.

a = 6.104 Å, b = 6.104 Å, c = 6.104 Å
α = 90.00°, β = 90.00°, γ = 90.00°
Positions (direct):
Cd  0.000  0.000  0.000
Cd  0.000  0.500  0.500
Cd  0.500  0.000  0.500
Cd  0.500  0.500  0.000
Ru  0.000  0.000  0.500
Ru  0.000  0.500  0.000
Ru  0.500  0.000  0.000
Ru  0.500  0.500  0.500
Se  0.250  0.250  0.250
Se  0.250  0.750  0.750
Se  0.750  0.250  0.750
Se  0.750  0.750  0.250

Results
VASP energy = -4.43 eV/atom
energy above the lowest structure with this stoichiometry = 392 meV per atom
formation energy from raw total energies = 1.93 eV per formula unit
N(E_F) = 14.7 states/eV per cell
magnetic moment = 2.7 μB/cell

***

# 4
Below is a relaxed Cd2RuSe crystal, with properties calculated at the PBEsol level.

a = 3.478 Å, b = 4.377 Å, c = 9.169 Å
α = 90.00°, β = 90.00°, γ = 90.00°
Positions (direct):
Cd  0.000  0.000  0.249
Cd  0.000  0.000  0.751
Cd  0.500  0.500  0.251
Cd  0.500  0.500  0.749
Ru  0.000  0.500  0.500
Ru  0.500  0.000  0.000
Se  0.000  0.500  0.000
Se  0.500  0.000  0.500

Results
VASP energy = -3.78 eV/atom
formation energy from raw total energies = 1.30 eV per formula unit
N(E_F) = 7.7 states/eV per cell
magnetic moment = 0.0 μB/cell

***

# 5
Below is a relaxed Cd2RuSe crystal, with properties calculated at the PBEsol level.

a = 3.106 Å, b = 4.287 Å, c = 11.907 Å
α = 90.00°, β = 90.00°, γ = 90.00°
Positions (direct):
Cd  0.000  0.000  0.000
Cd  0.000  0.500  0.500
Cd  0.500  0.000  0.335
Cd  0.500  0.500  0.835
Ru  0.000  0.000  0.774
Ru  0.000  0.500  0.274
Se  0.500  0.000  0.621
Se  0.500  0.500  0.121

Results
VASP energy = -4.05 eV/atom
formation energy from raw total energies = 0.20 eV per formula unit
N(E_F) = 4.1 states/eV per cell
magnetic moment = 0.0 μB/cell

***

# 6
Below is a relaxed Cd2RuSe crystal, with properties calculated at the PBEsol level.

a = 6.568 Å, b = 6.568 Å, c = 6.568 Å
α = 90.00°, β = 90.00°, γ = 90.00°
Positions (direct):
Cd  0.000  0.000  0.000
Cd  0.000  0.500  0.500
Cd  0.250  0.250  0.250
Cd  0.250  0.750  0.750
Cd  0.500  0.000  0.500
Cd  0.500  0.500  0.000
Cd  0.750  0.250  0.750
Cd  0.750  0.750  0.250
Ru  0.000  0.000  0.500
Ru  0.000  0.500  0.000
Ru  0.500  0.000  0.000
Ru  0.500  0.500  0.500
Se  0.250  0.250  0.750
Se  0.250  0.750  0.250
Se  0.750  0.250  0.250
Se  0.750  0.750  0.750

Results
VASP energy = -3.67 eV/atom
formation energy from raw total energies = 1.73 eV per formula unit
N(E_F) = 17.6 states/eV per cell
magnetic moment = 0.0 μB/cell

***

# 7
Below is a relaxed CdSi2Ru crystal, with properties calculated at the PBEsol level.

a = 4.118 Å, b = 4.118 Å, c = 16.153 Å
α = 90.00°, β = 90.00°, γ = 90.00°
Positions (direct):
Cd  0.000  0.000  0.000
Cd  0.000  0.500  0.250
Cd  0.500  0.000  0.750
Cd  0.500  0.500  0.500
Si  0.173  0.250  0.625
Si  0.250  0.673  0.875
Si  0.250  0.827  0.375
Si  0.327  0.250  0.125
Si  0.673  0.750  0.125
Si  0.750  0.173  0.375
Si  0.750  0.327  0.875
Si  0.827  0.750  0.625
Ru  0.000  0.000  0.500
Ru  0.000  0.500  0.750
Ru  0.500  0.000  0.250
Ru  0.500  0.500  0.000

Results
VASP energy = -5.49 eV/atom
formation energy from raw total energies = 0.92 eV per formula unit
N(E_F) = 7.5 states/eV per cell
magnetic moment = 0.0 μB/cell

***

# 8
Below is a relaxed CdSi2Ru crystal, with properties calculated at the PBEsol level.

a = 4.254 Å, b = 3.134 Å, c = 9.294 Å
α = 90.00°, β = 90.00°, γ = 90.00°
Positions (direct):
Cd  0.000  0.000  0.000
Cd  0.000  0.500  0.500
Si  0.000  0.000  0.733
Si  0.000  0.500  0.233
Si  0.500  0.000  0.320
Si  0.500  0.500  0.820
Ru  0.500  0.000  0.614
Ru  0.500  0.500  0.114

Results
VASP energy = -5.70 eV/atom
formation energy from raw total energies = 0.04 eV per formula unit
N(E_F) = 3.5 states/eV per cell
magnetic moment = 0.0 μB/cell

***

# 9
Below is a relaxed CdSiRu4 crystal, with properties calculated at the PBEsol level.

a = 5.052 Å, b = 5.052 Å, c = 5.052 Å
α = 60.00°, β = 60.00°, γ = 60.00°
Positions (direct):
Cd  0.000  0.000  0.000
Si  0.250  0.250  0.250
Ru  0.126  0.625  0.625
Ru  0.625  0.126  0.625
Ru  0.625  0.625  0.126
Ru  0.625  0.625  0.625

Results
VASP energy = -7.29 eV/atom
formation energy from raw total energies = 3.86 eV per formula unit
N(E_F) = 11.0 states/eV per cell
magnetic moment = 0.3 μB/cell

***

# 10
Below is a relaxed CdSi4Ru crystal, with properties calculated at the PBEsol level.

a = 5.018 Å, b = 5.018 Å, c = 5.018 Å
α = 60.00°, β = 60.00°, γ = 60.00°
Positions (direct):
Cd  0.000  0.000  0.000
Si  0.376  0.376  0.376
Si  0.376  0.376  0.872
Si  0.376  0.872  0.376
Si  0.872  0.376  0.376
Ru  0.750  0.750  0.750

Results
VASP energy = -5.25 eV/atom
formation energy from raw total energies = 2.86 eV per formula unit
N(E_F) = 2.7 states/eV per cell
magnetic moment = 0.0 μB/cell

***

# 11
Below is a relaxed Sr2CdSiRu crystal, with properties calculated at the PBEsol level.

a = 5.792 Å, b = 5.792 Å, c = 4.875 Å
α = 90.00°, β = 90.00°, γ = 90.00°
Positions (direct):
Sr  0.000  0.500  0.000
Sr  0.500  0.000  0.000
Cd  0.000  0.000  0.000
Si  0.500  0.500  0.500
Ru  0.000  0.000  0.500

Results
VASP energy = -3.19 eV/atom
formation energy from raw total energies = 4.86 eV per formula unit
N(E_F) = 6.1 states/eV per cell
magnetic moment = 0.8 μB/cell

***

# 12
Below is a relaxed CdSnRu3 crystal, with properties calculated at the PBEsol level.

a = 4.755 Å, b = 4.755 Å, c = 4.755 Å
α = 90.00°, β = 90.00°, γ = 90.00°
Positions (direct):
Cd  0.000  0.000  0.000
Sn  0.500  0.500  0.500
Ru  0.000  0.000  0.500
Ru  0.000  0.500  0.000
Ru  0.500  0.000  0.000

Results
VASP energy = -5.03 eV/atom
E_form = 2160 meV/atom
N(E_F) = 7.9 states/eV per cell
magnetic moment = 3.8 μB/cell